(1)
A relaxed structure of ScCd4Hg3. Source: the Alexandria database, functional PBE.

**DOS(E_F)**: 0.6636 states/eV/atom
**ΔE to the lowest computed polymorph**: 0.067 eV per atom
**Formation enthalpy at 0 K**: -0.03 eV per atom

Cell lengths 5.975, 6.118, 6.718 Å; angles 117.09, 116.41, 90.00 degrees
Fractional positions:
Sc 0.841 0.500 0.000
Hg 0.819 0.252 0.504
Hg 0.838 0.000 0.000
Hg 0.315 0.748 0.496
Cd 0.823 0.751 0.503
Cd 0.321 0.249 0.497
Cd 0.347 0.256 0.000
Cd 0.347 0.744 0.000

(2)
A relaxed structure of Sc2Cd2Hg. Source: the Alexandria database, functional PBE.

**DOS(E_F)**: 1.1588 states/eV/atom
**ΔE to the lowest computed polymorph**: 0.265 eV per atom
**Formation enthalpy at 0 K**: 0.04 eV per atom

Cell lengths 3.953, 3.953, 8.403 Å; angles 76.40, 76.40, 90.00 degrees
Each line ends with the local moment (μB).
Fractional positions:
Sc 0.406 0.406 0.187  0.33
Sc 0.594 0.594 0.813  0.33
Hg 0.000 0.000 0.000  0.01
Cd 0.750 0.250 0.500  0.01
Cd 0.250 0.750 0.500  0.01

(3)
A relaxed structure of ScCd4Hg3. Source: the Alexandria database, functional PBE.

**DOS(E_F)**: 0.3096 states/eV/atom
**ΔE to the lowest computed polymorph**: 0.000 eV per atom
**Formation enthalpy at 0 K**: -0.10 eV per atom

Cell lengths 4.272, 4.595, 22.643 Å; angles 155.28, 95.41, 90.00 degrees
Fractional positions:
Sc 0.500 0.000 0.000
Cd 0.623 0.608 0.247
Cd 0.377 0.392 0.753
Cd 0.877 0.900 0.754
Cd 0.123 0.100 0.246
Hg 0.000 0.500 0.000
Hg 0.250 0.748 0.500
Hg 0.750 0.252 0.500